DFT (PBE) results for a geometry-optimized NpNiAs structure.

The structure in POSCAR format:
```
NpNiAs
1.0
4.065 0.000 0.000
-2.032 3.520 0.000
0.000 0.000 3.873
Np Ni As
1 1 1
direct
0.000 0.000 0.000
0.667 0.333 0.536
0.333 0.667 0.489
```

Summary:
ΔE_f (kJ/mol of atoms): -49
Total magnetic moment (μB/f.u.): 3.98
Raw total energy (eV/atom): -8.303

***

DFT (PBE) results for a geometry-optimized Sm3Cd2Ag6 structure.

The structure in POSCAR format:
```
Sm3Cd2Ag6
1.0
-1.993 1.993 16.677
1.993 -1.993 16.677
1.993 1.993 -16.677
Sm Cd Ag
3 2 6
direct
0.000 0.000 0.000
0.182 0.182 0.000
0.818 0.818 0.000
0.365 0.365 0.000
0.635 0.635 0.000
0.073 0.573 0.500
0.273 0.273 0.000
0.427 0.927 0.500
0.573 0.073 0.500
0.727 0.727 0.000
0.927 0.427 0.500
```

Summary:
ΔE_f (kJ/mol of atoms): -8
Total magnetic moment (μB/f.u.): 0.15
Raw total energy (eV/atom): -3.092

***

DFT (PBE) results for a geometry-optimized MgFeCo2C structure.

The structure in POSCAR format:
```
MgFeCo2C
1.0
3.796 0.000 0.000
0.000 3.796 0.000
0.000 0.000 3.782
Mg Fe Co C
1 1 2 1
direct
0.000 0.000 0.000
0.500 0.500 0.000
0.000 0.500 0.500
0.500 0.000 0.500
0.500 0.500 0.500
```

Summary:
ΔE_f (kJ/mol of atoms): -2
Total magnetic moment (μB/f.u.): 2.13
Raw total energy (eV/atom): -6.722

***

DFT (PBE) results for a geometry-optimized ErVFeGe3 structure.

The structure in POSCAR format:
```
ErVFeGe3
1.0
2.871 -5.260 0.000
2.871 5.260 0.000
0.000 0.000 7.529
Er V Fe Ge
2 2 2 6
direct
0.244 0.756 0.750
0.756 0.244 0.250
0.057 0.943 0.250
0.943 0.057 0.750
0.490 0.510 0.250
0.510 0.490 0.750
0.265 0.265 0.000
0.265 0.265 0.500
0.275 0.725 0.250
0.725 0.275 0.750
0.735 0.735 0.000
0.735 0.735 0.500
```

Summary:
ΔE_f (kJ/mol of atoms): -14
Total magnetic moment (μB/f.u.): 0.00
Raw total energy (eV/atom): -6.144

***

DFT (PBE) results for a geometry-optimized DyZn6Cu structure.

The structure in POSCAR format:
```
DyZn6Cu
1.0
4.085 0.000 0.000
0.000 4.085 0.000
0.000 0.000 8.338
Dy Zn Cu
1 6 1
direct
0.000 0.000 0.000
0.000 0.500 0.330
0.000 0.500 0.670
0.500 0.000 0.330
0.500 0.000 0.670
0.500 0.500 0.145
0.500 0.500 0.855
0.000 0.000 0.500
```

Summary:
ΔE_f (kJ/mol of atoms): -15
Total magnetic moment (μB/f.u.): 0.00
Raw total energy (eV/atom): -2.201

***

DFT (PBE) results for a geometry-optimized La3HoEr2Sb6 structure.

The structure in POSCAR format:
```
La3HoEr2Sb6
1.0
3.898 -6.751 0.000
3.898 6.751 0.000
-2.597 0.000 7.311
La Ho Er Sb
3 1 2 6
direct
0.000 0.000 0.000
0.334 0.666 0.000
0.666 0.334 0.000
0.500 0.500 0.500
0.167 0.833 0.500
0.833 0.167 0.500
0.088 0.422 0.265
0.244 0.244 0.735
0.422 0.088 0.265
0.578 0.912 0.735
0.756 0.756 0.265
0.912 0.578 0.735
```

Summary:
Formation energy without anion corrections (eV/atom): -1.183
Total magnetic moment (μB/f.u.): 0.00
Raw total energy (eV/atom): -5.618

***

DFT (PBE) results for a geometry-optimized RbRe structure.

The structure in POSCAR format:
```
RbRe
1.0
-2.952 2.952 5.148
2.952 -2.952 5.148
2.952 2.952 -5.148
Rb Re
4 4
direct
0.000 0.000 0.000
0.000 0.000 0.500
0.000 0.500 0.000
0.500 0.000 0.500
0.000 0.500 0.500
0.500 0.000 0.000
0.500 0.500 0.000
0.500 0.500 0.500
```

Summary:
ΔE_f (kJ/mol of atoms): 237
Total magnetic moment (μB/f.u.): 0.00
Raw total energy (eV/atom): -4.253

***

DFT (PBE) results for a geometry-optimized Dy4MgOs structure.

The structure in POSCAR format:
```
Dy4MgOs
1.0
0.000 6.868 6.868
6.868 0.000 6.868
6.868 6.868 0.000
Dy Mg Os
16 4 4
direct
0.188 0.188 0.812
0.188 0.812 0.188
0.188 0.812 0.812
0.344 0.344 0.344
0.344 0.344 0.969
0.344 0.969 0.344
0.559 0.559 0.941
0.559 0.941 0.559
0.559 0.941 0.941
0.812 0.188 0.188
0.812 0.188 0.812
0.812 0.812 0.188
0.941 0.559 0.559
0.941 0.559 0.941
0.941 0.941 0.559
0.969 0.344 0.344
0.262 0.579 0.579
0.579 0.262 0.579
0.579 0.579 0.262
0.579 0.579 0.579
0.139 0.139 0.139
0.139 0.139 0.584
0.139 0.584 0.139
0.584 0.139 0.139
```

Summary:
ΔE_f (kJ/mol of atoms): -18
Total magnetic moment (μB/f.u.): 0.00
Raw total energy (eV/atom): -5.396

***

DFT (PBE) results for a geometry-optimized Np3ZnSe6 structure.

The structure in POSCAR format:
```
Np3ZnSe6
1.0
5.591 -6.851 0.000
5.591 6.851 0.000
0.000 0.000 6.794
Np Zn Se
6 2 12
direct
0.103 0.897 0.500
0.222 0.420 0.406
0.420 0.222 0.906
0.580 0.778 0.406
0.778 0.580 0.906
0.897 0.103 0.000
0.298 0.702 0.864
0.702 0.298 0.364
0.057 0.593 0.679
0.128 0.194 0.703
0.194 0.128 0.203
0.276 0.724 0.224
0.407 0.943 0.679
0.465 0.535 0.707
0.535 0.465 0.207
0.593 0.057 0.179
0.724 0.276 0.724
0.806 0.872 0.703
0.872 0.806 0.203
0.943 0.407 0.179
```

Summary:
Formation energy without anion corrections (eV/atom): -1.026
Total magnetic moment (μB/f.u.): 11.00
Raw total energy (eV/atom): -7.126

***

DFT (PBE) results for a geometry-optimized Cu3Se2 structure.

The structure in POSCAR format:
```
Cu3Se2
1.0
3.853 0.000 0.000
-1.926 3.337 0.000
0.000 0.000 6.527
Cu Se
3 2
direct
0.000 0.000 0.000
0.333 0.667 0.400
0.667 0.333 0.600
0.333 0.667 0.780
0.667 0.333 0.220
```

Summary:
Formation energy without anion corrections (eV/atom): -0.048
Total magnetic moment (μB/f.u.): 0.00
Raw total energy (eV/atom): -3.899

***

DFT (PBE) results for a geometry-optimized BaHg2Au6 structure.

The structure in POSCAR format:
```
BaHg2Au6
1.0
0.000 6.323 6.323
6.323 0.000 6.323
6.323 6.323 0.000
Ba Hg Au
2 4 12
direct
0.125 0.125 0.125
0.875 0.875 0.875
0.000 0.500 0.500
0.500 0.000 0.500
0.500 0.500 0.000
0.500 0.500 0.500
0.125 0.125 0.625
0.125 0.625 0.125
0.125 0.625 0.625
0.375 0.375 0.875
0.375 0.875 0.375
0.375 0.875 0.875
0.625 0.125 0.125
0.625 0.125 0.625
0.625 0.625 0.125
0.875 0.375 0.375
0.875 0.375 0.875
0.875 0.875 0.375
```

Summary:
ΔE_f (kJ/mol of atoms): 8
Total magnetic moment (μB/f.u.): 0.00
Raw total energy (eV/atom): -2.385

***

DFT (PBE) results for a geometry-optimized Sc2Ga5Tc2Ru structure.

The structure in POSCAR format:
```
Sc2Ga5Tc2Ru
1.0
10.239 0.000 0.000
0.000 10.239 0.000
0.000 0.000 3.234
Sc Ga Tc Ru
4 10 4 2
direct
0.180 0.320 0.000
0.320 0.820 0.000
0.680 0.180 0.000
0.820 0.680 0.000
0.000 0.500 0.500
0.058 0.811 0.500
0.189 0.058 0.500
0.311 0.558 0.500
0.442 0.311 0.500
0.500 0.000 0.500
0.558 0.689 0.500
0.689 0.442 0.500
0.811 0.942 0.500
0.942 0.189 0.500
0.132 0.632 0.000
0.368 0.132 0.000
0.632 0.868 0.000
0.868 0.368 0.000
0.000 0.000 0.000
0.500 0.500 0.000
```

Summary:
ΔE_f (kJ/mol of atoms): -23
Total magnetic moment (μB/f.u.): 0.42
Raw total energy (eV/atom): -6.024

***

DFT (PBE) results for a geometry-optimized PrNd3C structure.

The structure in POSCAR format:
```
PrNd3C
1.0
5.260 0.000 0.000
0.000 5.260 0.000
0.000 0.000 5.260
Pr Nd C
1 3 1
direct
0.000 0.000 0.000
0.000 0.500 0.500
0.500 0.000 0.500
0.500 0.500 0.000
0.500 0.500 0.500
```

Summary:
ΔE_f (kJ/mol of atoms): 10
Total magnetic moment (μB/f.u.): 0.00
Raw total energy (eV/atom): -5.562

***

DFT (PBE) results for a geometry-optimized NdDySc2Se4 structure.

The structure in POSCAR format:
```
NdDySc2Se4
1.0
6.932 0.000 0.000
0.000 3.965 0.000
-2.276 0.000 6.666
Nd Dy Sc Se
1 1 2 4
direct
0.000 0.000 0.000
0.500 0.500 0.000
0.000 0.500 0.500
0.500 0.000 0.500
0.249 0.000 0.730
0.264 0.500 0.275
0.736 0.500 0.725
0.751 0.000 0.270
```

Summary:
Formation energy without anion corrections (eV/atom): -1.678
Total magnetic moment (μB/f.u.): 0.00
Raw total energy (eV/atom): -6.175

***

DFT (PBE) results for a geometry-optimized Sb3P structure.

The structure in POSCAR format:
```
Sb3P
1.0
4.605 0.000 0.000
0.000 4.605 0.000
0.000 0.000 4.605
Sb P
3 1
direct
0.000 0.000 0.500
0.000 0.500 0.000
0.500 0.000 0.000
0.500 0.500 0.500
```

Summary:
Formation energy without anion corrections (eV/atom): 0.542
Total magnetic moment (μB/f.u.): 0.00
Raw total energy (eV/atom): -3.902

***

DFT (PBE) results for a geometry-optimized P4WSe structure.

The structure in POSCAR format:
```
P4WSe
1.0
0.000 3.571 3.571
3.571 0.000 3.571
3.571 3.571 0.000
P W Se
4 1 1
direct
0.125 0.125 0.125
0.125 0.125 0.625
0.125 0.625 0.125
0.625 0.125 0.125
0.500 0.500 0.500
0.750 0.750 0.750
```

Summary:
Formation energy without anion corrections (eV/atom): 1.003
Total magnetic moment (μB/f.u.): 0.00
Raw total energy (eV/atom): -5.343

***

DFT (PBE) results for a geometry-optimized CoAs2W structure.

The structure in POSCAR format:
```
CoAs2W
1.0
2.823 0.000 0.000
0.000 2.823 0.000
0.000 0.000 8.832
Co As W
1 2 1
direct
0.000 0.000 0.000
0.000 0.000 0.414
0.500 0.500 0.829
0.500 0.500 0.193
```

Summary:
ΔE_f (kJ/mol of atoms): 6
Total magnetic moment (μB/f.u.): 0.75
Raw total energy (eV/atom): -7.274

***

DFT (PBE) results for a geometry-optimized Zr3Si structure.

The structure in POSCAR format:
```
Zr3Si
1.0
5.111 -1.576 0.000
5.111 1.576 0.000
-1.183 0.000 5.092
Zr Si
3 1
direct
0.000 0.000 0.000
0.232 0.232 0.728
0.768 0.768 0.272
0.500 0.500 0.500
```

Summary:
Formation energy without anion corrections (eV/atom): -0.254
Total magnetic moment (μB/f.u.): 0.00
Raw total energy (eV/atom): -8.021

***

DFT (PBE) results for a geometry-optimized TlSn2Bi structure.

The structure in POSCAR format:
```
TlSn2Bi
1.0
5.223 0.000 0.000
0.000 5.223 0.000
0.000 0.000 4.349
Tl Sn Bi
1 2 1
direct
0.000 0.000 0.000
0.000 0.500 0.500
0.500 0.000 0.500
0.500 0.500 0.000
```

Summary:
ΔE_f (kJ/mol of atoms): 6
Total magnetic moment (μB/f.u.): 0.00
Raw total energy (eV/atom): -3.506

***

DFT (PBE) results for a geometry-optimized CaCeGaRu structure.

The structure in POSCAR format:
```
CaCeGaRu
1.0
0.000 3.517 3.517
3.517 0.000 3.517
3.517 3.517 0.000
Ca Ce Ga Ru
1 1 1 1
direct
0.000 0.000 0.000
0.500 0.500 0.500
0.750 0.750 0.750
0.250 0.250 0.250
```

Summary:
ΔE_f (kJ/mol of atoms): -20
Total magnetic moment (μB/f.u.): 0.00
Raw total energy (eV/atom): -5.263

***

DFT (PBE) results for a geometry-optimized PmHo3Ni structure.

The structure in POSCAR format:
```
PmHo3Ni
1.0
5.303 0.000 0.000
0.000 5.303 0.000
0.000 0.000 5.303
Pm Ho Ni
1 3 1
direct
0.000 0.000 0.000
0.000 0.500 0.500
0.500 0.000 0.500
0.500 0.500 0.000
0.500 0.500 0.500
```

Summary:
ΔE_f (kJ/mol of atoms): -7
Total magnetic moment (μB/f.u.): 0.00
Raw total energy (eV/atom): -4.928

***

DFT (PBE) results for a geometry-optimized Co4TcSe structure.

The structure in POSCAR format:
```
Co4TcSe
1.0
0.000 3.387 3.387
3.387 0.000 3.387
3.387 3.387 0.000
Co Tc Se
4 1 1
direct
0.125 0.125 0.125
0.125 0.125 0.624
0.125 0.624 0.125
0.624 0.125 0.125
0.500 0.500 0.500
0.750 0.750 0.750
```

Summary:
Formation energy without anion corrections (eV/atom): 0.443
Total magnetic moment (μB/f.u.): 8.27
Raw total energy (eV/atom): -6.602

***

DFT (PBE) results for a geometry-optimized TiTe2F structure.

The structure in POSCAR format:
```
TiTe2F
1.0
0.000 3.404 3.404
3.404 0.000 3.404
3.404 3.404 0.000
Ti Te F
1 2 1
direct
0.000 0.000 0.000
0.250 0.250 0.250
0.750 0.750 0.750
0.500 0.500 0.500
```

Summary:
Formation energy without anion corrections (eV/atom): -0.762
Total magnetic moment (μB/f.u.): 0.00
Raw total energy (eV/atom): -4.775

***

DFT (PBE) results for a geometry-optimized Nd3ThAg2 structure.

The structure in POSCAR format:
```
Nd3ThAg2
1.0
3.710 0.000 0.000
0.000 3.710 0.000
0.000 0.000 12.516
Nd Th Ag
3 1 2
direct
0.000 0.000 0.000
0.000 0.000 0.307
0.000 0.000 0.693
0.500 0.500 0.500
0.500 0.500 0.151
0.500 0.500 0.849
```

Summary:
ΔE_f (kJ/mol of atoms): -15
Total magnetic moment (μB/f.u.): 0.00
Raw total energy (eV/atom): -4.730